# 1
First-principles (GGA-PBE) data for a relaxed structure of DyTmCd4, as listed in the Alexandria database.

The value obtained for the density of states at the Fermi level is 0.677 states/eV per atom. Its crystal system is monoclinic. Its total energy is -2.42 eV per atom.

The space group is P2/m (No. 10) and the conventional cell measures 3.3995, 8.6054 and 4.9603 Å, with angles of 90.00, 90.14 and 90.00 degrees. The asymmetric unit holds Dy at (0.0000, 0.0000, 0.0000), Tm at (0.0000, 0.5000, 0.5000), Cd at (0.5000, 0.1680, 0.5000) and Cd at (0.5000, 0.3344, 0.0000).

# 2
First-principles (GGA-PBE) data for a relaxed structure of DyTm4Cd3, as listed in the Alexandria database.

The value obtained for the density of states at the Fermi level is 1.078 states/eV per atom. Its crystal system is trigonal. Its total energy is -3.31 eV per atom.

The space group is R-3m (No. 166, hexagonal axes) and the conventional cell measures 5.2767, 5.2767 and 26.6974 Å, with angles of 90.00, 90.00 and 120.00 degrees. The asymmetric unit holds Dy at (0.0000, 0.0000, 0.0000), Tm at (0.0000, 0.0000, 0.1296), Tm at (0.0000, 0.0000, 0.3866), Cd at (0.0000, 0.0000, 0.2596) and Cd at (0.0000, 0.0000, 0.5000).

# 3
First-principles (GGA-PBE) data for a relaxed structure of Dy3Tm4Cd, as listed in the Alexandria database.

The value obtained for the density of states at the Fermi level is 1.283 states/eV per atom. Its crystal system is tetragonal. Its total energy is -4.14 eV per atom.

The space group is P4/mmm (No. 123) and the conventional cell measures 3.5159, 3.5159 and 19.0305 Å, with angles of 90.00, 90.00 and 90.00 degrees. The asymmetric unit holds Dy at (0.0000, 0.0000, 0.0000), Dy at (0.0000, 0.0000, 0.2610), Tm at (0.5000, 0.5000, 0.1308), Tm at (0.5000, 0.5000, 0.3910) and Cd at (0.0000, 0.0000, 0.5000).

# 4
First-principles (GGA-PBE) data for a relaxed structure of Dy4Tm9Cd11, as listed in the Alexandria database.

The value obtained for the density of states at the Fermi level is 1.129 states/eV per atom. Its crystal system is orthorhombic. Its total energy is -3.08 eV per atom.

The space group is Cmmm (No. 65) and the conventional cell measures 16.0769, 22.3385 and 3.4695 Å, with angles of 90.00, 90.00 and 90.00 degrees. The asymmetric unit holds Dy at (0.1675, 0.0825, 0.0000), Tm at (0.0000, 0.0000, 0.0000), Tm at (0.1104, 0.4052, 0.0000), Tm at (0.1137, 0.2305, 0.0000), Cd at (0.0000, 0.1294, 0.5000), Cd at (0.0000, 0.3174, 0.5000), Cd at (0.0000, 0.5000, 0.5000), Cd at (0.2083, 0.5000, 0.5000) and Cd at (0.2299, 0.3189, 0.5000).

# 5
First-principles (GGA-PBE) data for a relaxed structure of Dy2Tm2Cd, as listed in the Alexandria database.

The value obtained for the density of states at the Fermi level is 1.551 states/eV per atom. Its crystal system is tetragonal. Its total energy is -3.92 eV per atom.

The space group is I4/mmm (No. 139) and the conventional cell measures 3.5197, 3.5197 and 23.2544 Å, with angles of 90.00, 90.00 and 90.00 degrees. The asymmetric unit holds Dy at (0.0000, 0.0000, 0.1960), Tm at (0.0000, 0.0000, 0.4108) and Cd at (0.0000, 0.0000, 0.0000).

# 6
First-principles (GGA-PBE) data for a relaxed structure of Dy3Tm3Cd2, as listed in the Alexandria database.

The value obtained for the density of states at the Fermi level is 1.321 states/eV per atom. Its crystal system is orthorhombic. Its total energy is -3.69 eV per atom.

The space group is Cmcm (No. 63) and the conventional cell measures 5.1603, 11.5276 and 15.6779 Å, with angles of 90.00, 90.00 and 90.00 degrees. The asymmetric unit holds Dy at (0.0000, 0.0417, 0.1048), Dy at (0.0000, 0.2635, 0.2500), Tm at (0.0000, 0.3553, 0.0345), Tm at (0.0000, 0.4534, 0.7500) and Cd at (0.0000, 0.2310, 0.6355).

# 7
First-principles (GGA-PBE) data for a relaxed structure of DyTm2Cd5, as listed in the Alexandria database.

The value obtained for the density of states at the Fermi level is 0.387 states/eV per atom. Its crystal system is tetragonal. Its total energy is -2.56 eV per atom.

The space group is I4/mmm (No. 139) and the conventional cell measures 5.1034, 5.1034 and 14.8702 Å, with angles of 90.00, 90.00 and 90.00 degrees. The asymmetric unit holds Dy at (0.0000, 0.0000, 0.0000), Tm at (0.0000, 0.0000, 0.2596), Cd at (0.0000, 0.0000, 0.5000) and Cd at (0.0000, 0.5000, 0.1220).

# 8
First-principles (GGA-PBE) data for a relaxed structure of DyTm2Cd3, as listed in the Alexandria database.

The value obtained for the density of states at the Fermi level is 0.877 states/eV per atom. Its crystal system is trigonal. Its total energy is -3.03 eV per atom.

The space group is P-3m1 (No. 164) and the conventional cell measures 5.2436, 5.2436 and 6.4429 Å, with angles of 90.00, 90.00 and 120.00 degrees. The asymmetric unit holds Dy at (0.0000, 0.0000, 0.0000), Tm at (0.3333, 0.6667, 0.6625), Cd at (0.0000, 0.0000, 0.5000) and Cd at (0.3333, 0.6667, 0.1657).

- The lowest density of states at the Fermi level belongs to which entry?
  DyTm2Cd5